Entry 1:
A geometry-optimized RbAlRe3 structure. Source: Alexandria via LeMat-Bulk, functional PBE-GGA.

Cell lengths 4.715, 4.715, 4.715 Å; angles 90.00, 90.00, 90.00 degrees
Fractional coordinates of all 5 atoms:
Rb 0.000 0.000 0.000
Al 0.500 0.500 0.500
Re 0.000 0.500 0.500
Re 0.500 0.000 0.500
Re 0.500 0.500 0.000

Values from the calculation:
Polymorph energy (0 for the lowest one): 0.0000 eV/atom
Formation enthalpy at 0 K: 11.9 eV/f.u.
M_tot: 0.00 Bohr magnetons per cell

=====

Entry 2:
A geometry-optimized RbAlRe structure. Source: Alexandria via LeMat-Bulk, functional PBE-GGA.

Cell lengths 7.399, 4.269, 12.657 Å; angles 90.00, 90.61, 90.00 degrees
Fractional coordinates of all 12 atoms:
Rb 0.163 0.000 0.177
Rb 0.337 0.500 0.823
Rb 0.663 0.500 0.177
Rb 0.837 0.000 0.823
Al 0.001 0.500 0.605
Al 0.499 0.000 0.395
Al 0.501 0.000 0.605
Al 0.999 0.500 0.395
Re 0.166 0.000 0.479
Re 0.334 0.500 0.521
Re 0.666 0.500 0.479
Re 0.834 0.000 0.521

Values from the calculation:
Polymorph energy (0 for the lowest one): 0.0430 eV/atom
Formation enthalpy at 0 K: 0.8 eV/f.u.
M_tot: 0.00 Bohr magnetons per cell

=====

Entry 3:
A geometry-optimized RbAlRe structure. Source: Alexandria via LeMat-Bulk, functional PBE-GGA.

Cell lengths 3.310, 4.725, 12.684 Å; angles 79.65, 82.99, 69.49 degrees
Fractional coordinates of all 6 atoms:
Rb 0.191 0.322 0.316
Rb 0.809 0.678 0.684
Al 0.474 0.158 0.888
Al 0.526 0.842 0.112
Re 0.172 0.694 0.959
Re 0.828 0.306 0.041

Values from the calculation:
Polymorph energy (0 for the lowest one): 0.0989 eV/atom
Formation enthalpy at 0 K: 1.0 eV/f.u.
M_tot: 0.00 Bohr magnetons per cell

=====

Entry 4:
A geometry-optimized RbAlRe structure. Source: Alexandria via LeMat-Bulk, functional PBE-GGA.

Cell lengths 4.272, 4.273, 12.601 Å; angles 98.82, 90.29, 119.99 degrees
Fractional coordinates of all 6 atoms:
Rb 0.000 0.000 0.000
Rb 0.203 0.387 0.637
Al 0.404 0.801 0.222
Al 0.472 0.930 0.433
Re 0.098 0.186 0.307
Re 0.779 0.548 0.353

Values from the calculation:
Polymorph energy (0 for the lowest one): 0.0212 eV/atom
Formation enthalpy at 0 K: 0.8 eV/f.u.
M_tot: 0.01 Bohr magnetons per cell